[1]
Entry from Alexandria: a geometry-optimized HfAl2InAs structure (PBE).

**Theoretical density**: 5.97 Mg/m³
**Energy**: -4.571 eV/atom

POSCAR file:
```
HfAl2InAs
1.0
4.804 0.000 0.000
0.000 4.804 0.000
0.000 0.000 5.090
Hf Al In As
1 2 1 1
direct
0.000 0.000 0.000 Hf
0.000 0.500 0.500 Al
0.500 0.000 0.500 Al
0.500 0.500 0.000 In
0.000 0.000 0.500 As
```


[2]
Entry from Alexandria: a geometry-optimized AcThZnAu structure (PBE).

**Theoretical density**: 10.92 Mg/m³
**Energy**: -4.363 eV/atom

POSCAR file:
```
AcThZnAu
1.0
0.000 3.799 3.799
3.799 0.000 3.799
3.799 3.799 0.000
Ac Th Zn Au
1 1 1 1
direct
0.000 0.000 0.000 Ac
0.500 0.500 0.500 Th
0.750 0.750 0.750 Zn
0.250 0.250 0.250 Au
```


In eV per atom, the E_form values for the records above are, in order, 0.394, -0.343.